An optimized crystal structure of Ho12Tl5C2. Source: Alexandria, functional GGA-PBE.

Values from the calculation:
* calculated formation energy: -0.100 eV/atom
* density: 8.8 g/cm³

Structure (extended XYZ):
```
19
Lattice="7.4574 0.0000 0.0000 -3.7287 8.3242 0.1037 0.0000 -2.8110 9.1449" Properties=species:S:1:pos:R:3 pbc="T T T"
Ho -1.8986 4.5881 3.9523
Ho 1.8986 4.5881 3.9523
Ho 3.7287 7.7361 1.6620
Tl 0.0000 -1.4055 4.5724
Tl 0.0000 3.3483 5.9920
Tl 3.7287 0.7467 7.7021
C 5.5889 0.0000 0.0000
Ho 0.0000 -2.2230 7.5866
Tl 3.7287 2.1648 3.2566
Ho 0.0000 6.0105 7.6225
C 1.8686 0.0000 0.0000
Ho 1.8587 2.3247 0.7765
Ho 3.7287 -0.4973 1.6261
Ho 1.8301 0.9251 5.2963
Ho 5.5987 2.3247 0.7765
Ho 5.6274 0.9251 5.2963
Ho -1.8700 3.1885 8.4721
Tl 0.0000 4.7665 1.5465
Ho 1.8700 3.1885 8.4721
```